Entry from Alexandria via LeMat-Bulk: crystalline Pm6Sm4Zr at its relaxed geometry (PBE).

a b c (Å): 8.8090 8.8090 9.3514
angles (deg): 90.00 90.00 90.00
Positions (direct):
Pm 0.0000 0.0000 0.1771
Pm 0.0000 0.0000 0.8229
Pm 0.1489 0.3414 0.5000
Pm 0.1586 0.3511 0.0000
Pm 0.3414 0.8511 0.5000
Pm 0.3511 0.8414 0.0000
Pm 0.5000 0.5000 0.3229
Pm 0.5000 0.5000 0.6771
Pm 0.6489 0.1586 0.0000
Pm 0.6586 0.1489 0.5000
Pm 0.8414 0.6489 0.0000
Pm 0.8511 0.6586 0.5000
Sm 0.1458 0.6458 0.2500
Sm 0.1458 0.6458 0.7500
Sm 0.3542 0.1458 0.2500
Sm 0.3542 0.1458 0.7500
Sm 0.6458 0.8542 0.2500
Sm 0.6458 0.8542 0.7500
Sm 0.8542 0.3542 0.2500
Sm 0.8542 0.3542 0.7500
Zr 0.0000 0.0000 0.5000
Zr 0.5000 0.5000 0.0000

Properties
* SG: P4/mnc
* N(E_F): 1.585 states/eV/atom
* size of the total moment: 0.118 μB per atom
* energy of formation: 0.1444 eV/atom